Density functional theory data (PBE with a Hubbard U) for CrAsPO2 after structural relaxation.

## Properties
DOS(E_F) (states/eV/f.u.): 1.82
Raw total energy (eV/atom): -5.72
Spin magnetization (μB per formula unit): 3.92

The structure in POSCAR format:
```
CrAsPO2
1.0
3.704 0.000 0.000
0.000 3.704 0.000
0.000 0.000 5.151
As O P Cr
1 2 1 1
Direct
0.000 0.000 0.000 As
0.500 0.000 0.000 O
0.000 0.500 0.000 O
0.000 0.000 0.500 P
0.500 0.500 0.500 Cr
```